## MoN2OF (GGA+U)

Data for a relaxed structure of MoN2OF.

Unit cell a=3.734 b=3.734 c=3.493 alpha=90.00 beta=90.00 gamma=90.00
Space group P4/mmm (No. 123)
Inequivalent atoms, fractional coordinates:
1 Mo 0.000 0.000 0.000 [1 per cell]
2 N 0.000 0.500 0.500 [2 per cell]
3 O 0.500 0.500 0.500 [1 per cell]
4 F 0.500 0.500 0.000 [1 per cell]

## Properties
Theoretical density: 5.4 g/cm3
N(E_F): 2.354 states/eV/cell
DFT total energy: -4.6389 eV/atom
Volume: 48.7 Å³/cell